--- P ---
DFT (PBE) results for crystalline HgAsP at its relaxed geometry.

Summary:
DOS(E_F), states/eV per atom: 0.004

a b c (Å): 4.886 5.091 6.568
angles (deg): 73.31 75.77 73.37
Fractional positions:
As (0.922, 0.975, 0.609)
Hg (0.250, 0.234, 0.268)
P (0.491, 0.541, 0.926)
Hg (0.732, 0.715, 0.278)
As (0.952, 0.218, 0.885)
P (0.261, 0.532, 0.676)

***

--- Q ---
DFT (PBE) results for crystalline HgAsP at its relaxed geometry.

Summary:
DOS(E_F), states/eV per atom: 0.657

a b c (Å): 4.597 4.597 4.597
angles (deg): 60.00 60.00 60.00
Fractional positions:
Hg (0.500, 0.500, 0.500)
As (0.000, 0.000, 0.000)
P (0.750, 0.750, 0.750)

***

Stability verdict: P, ahead by 0.420 eV/atom

***

--- P ---
DFT (PBE) results for crystalline HgAsP at its relaxed geometry.

Summary:
DOS(E_F), states/eV per atom: 0.481

a b c (Å): 8.410 8.174 3.124
angles (deg): 83.42 74.93 21.66
Fractional positions:
Hg (0.328, 0.328, 0.672)
P (0.638, 0.638, 0.362)
As (0.034, 0.034, 0.966)

***

--- Q ---
DFT (PBE) results for crystalline HgAsP at its relaxed geometry.

a b c (Å): 3.459 3.459 7.827
angles (deg): 90.00 90.00 120.00
Fractional positions:
P (0.667, 0.333, 0.745)
Hg (0.333, 0.667, 0.341)
As (0.000, 0.000, 0.914)

***

Stability verdict: Q, ahead by 0.322 eV/atom

***

--- P ---
DFT (PBE) results for crystalline HgAs2P2 at its relaxed geometry.

Summary:
DOS(E_F), states/eV per atom: 0.305

a b c (Å): 4.423 4.423 7.158
angles (deg): 72.00 72.00 90.00
Fractional positions:
As (0.339, 0.339, 0.322)
Hg (0.000, 0.000, 0.000)
P (0.250, 0.750, 0.500)
P (0.750, 0.250, 0.500)
As (0.661, 0.661, 0.678)

***

--- Q ---
DFT (PBE) results for crystalline HgAs2P2 at its relaxed geometry.

Summary:
DOS(E_F), states/eV per atom: 0.268

a b c (Å): 4.520 4.520 6.645
angles (deg): 70.12 70.12 90.00
Fractional positions:
P (0.342, 0.342, 0.316)
P (0.658, 0.658, 0.684)
As (0.750, 0.250, 0.500)
Hg (0.000, 0.000, 0.000)
As (0.250, 0.750, 0.500)

***

Stability verdict: P, ahead by 0.054 eV/atom

***

--- P ---
DFT (PBE) results for crystalline HgAsP3 at its relaxed geometry.

Summary:
DOS(E_F), states/eV per atom: 1.030

a b c (Å): 4.774 4.774 4.774
angles (deg): 90.00 90.00 90.00
Fractional positions:
P (0.000, 0.500, 0.000)
P (0.500, 0.000, 0.000)
As (0.000, 0.000, 0.000)
P (0.000, 0.000, 0.500)
Hg (0.500, 0.500, 0.500)

***

--- Q ---
DFT (PBE) results for crystalline HgAsP3 at its relaxed geometry.

Summary:
DOS(E_F), states/eV per atom: 0.347

a b c (Å): 4.948 4.948 12.361
angles (deg): 96.61 96.61 124.90
Fractional positions:
P (0.698, 0.120, 0.259)
P (0.120, 0.698, 0.259)
Hg (0.802, 0.802, 0.074)
P (0.094, 0.094, 0.353)
As (0.186, 0.814, 0.500)
P (0.302, 0.880, 0.741)
As (0.814, 0.186, 0.500)
P (0.906, 0.906, 0.647)
P (0.880, 0.302, 0.741)
Hg (0.198, 0.198, 0.926)

***

Stability verdict: Q, ahead by 0.617 eV/atom

***

--- P ---
DFT (PBE) results for crystalline HgAs2PSe at its relaxed geometry.

Summary:
DOS(E_F), states/eV per atom: 0.992

a b c (Å): 5.170 5.170 5.134
angles (deg): 90.00 90.00 90.00
Site moments in Bohr magnetons follow the coordinates.
Fractional positions:
P (0.500, 0.500, 0.500)  -0.15
Se (0.000, 0.000, 0.500)  0.04
Hg (0.000, 0.000, 0.000)  0.01
As (0.500, 0.000, 0.000)  0.16
As (0.000, 0.500, 0.000)  0.16

***

--- Q ---
DFT (PBE) results for crystalline HgAs2PSe at its relaxed geometry.

Summary:
DOS(E_F), states/eV per atom: 0.922

a b c (Å): 4.827 4.827 4.977
angles (deg): 90.00 90.00 90.00
Fractional positions:
As (0.500, 0.000, 0.000)
P (0.000, 0.000, 0.000)
Hg (0.500, 0.500, 0.500)
Se (0.000, 0.000, 0.500)
As (0.000, 0.500, 0.000)

***

Stability verdict: Q, ahead by 0.771 eV/atom

***

--- P ---
DFT (PBE) results for crystalline PaHgAs2 at its relaxed geometry.

Summary:
DOS(E_F), states/eV per atom: 0.999

a b c (Å): 4.271 4.271 8.539
angles (deg): 75.52 75.52 60.00
Site moments in Bohr magnetons follow the coordinates.
Fractional positions:
As (0.107, 0.107, 0.679)  0.01
Hg (0.000, 0.000, 0.000)  0.04
As (0.893, 0.893, 0.321)  0.01
Pa (0.500, 0.500, 0.500)  0.43

***

--- Q ---
DFT (PBE) results for crystalline PaHgAs2 at its relaxed geometry.

Summary:
DOS(E_F), states/eV per atom: 0.699

a b c (Å): 3.843 3.843 6.705
angles (deg): 90.00 90.00 90.00
Fractional positions:
Hg (0.500, 0.500, 0.500)
Pa (0.500, 0.500, 0.000)
As (0.000, 0.000, 0.815)
As (0.000, 0.000, 0.185)

***

Stability verdict: Q, ahead by 0.203 eV/atom

***

--- P ---
DFT (PBE) results for crystalline Hg2AsPb at its relaxed geometry.

Summary:
DOS(E_F), states/eV per atom: 0.522

a b c (Å): 4.382 4.382 5.347
angles (deg): 90.00 90.00 90.00
Fractional positions:
Pb (0.000, 0.500, 0.500)
Hg (0.000, 0.000, 0.000)
As (0.500, 0.000, 0.500)
Hg (0.500, 0.500, 0.000)

***

--- Q ---
DFT (PBE) results for crystalline Hg2AsPb at its relaxed geometry.

Summary:
DOS(E_F), states/eV per atom: 0.333

a b c (Å): 3.463 3.463 8.769
angles (deg): 90.00 90.00 103.87
Fractional positions:
Hg (0.000, 0.000, 0.976)
As (0.500, 0.500, 0.750)
Pb (0.500, 0.500, 0.250)
Hg (0.000, 0.000, 0.524)

***

--- R ---
DFT (PBE) results for crystalline Hg2AsPb at its relaxed geometry.

Summary:
DOS(E_F), states/eV per atom: 0.543

a b c (Å): 8.191 8.191 6.584
angles (deg): 51.53 51.53 90.00
Fractional positions:
As (0.500, 0.500, 0.000)
Pb (0.750, 0.250, 0.500)
As (0.250, 0.750, 0.500)
Hg (0.590, 0.125, 0.250)
Pb (0.000, 0.000, 0.000)
Hg (0.375, 0.410, 0.750)
Hg (0.875, 0.840, 0.750)
Hg (0.160, 0.625, 0.250)

***

Stability verdict: R, ahead by 0.028 eV/atom

***

--- P ---
DFT (PBE) results for crystalline Hg2AsPb at its relaxed geometry.

Summary:
DOS(E_F), states/eV per atom: 0.447

a b c (Å): 6.289 6.289 6.289
angles (deg): 148.85 126.08 63.59
Fractional positions:
As (0.250, 0.750, 0.500)
Hg (0.480, 0.480, 0.000)
Hg (0.020, 0.020, 0.000)
Pb (0.750, 0.250, 0.500)

***

--- Q ---
DFT (PBE) results for crystalline Hg2AsPb at its relaxed geometry.

Summary:
DOS(E_F), states/eV per atom: 0.289

a b c (Å): 3.304 3.304 10.003
angles (deg): 90.00 90.00 103.73
Fractional positions:
Hg (0.000, 0.000, 0.990)
As (0.500, 0.500, 0.747)
Pb (0.000, 0.000, 0.523)
Hg (0.500, 0.500, 0.240)

***

--- R ---
DFT (PBE) results for crystalline Hg2AsPb at its relaxed geometry.

Summary:
DOS(E_F), states/eV per atom: 0.634

a b c (Å): 5.241 5.241 5.241
angles (deg): 60.00 60.00 60.00
Fractional positions:
Pb (0.500, 0.500, 0.500)
As (0.000, 0.000, 0.000)
Hg (0.250, 0.250, 0.250)
Hg (0.750, 0.750, 0.750)

***

--- S ---
DFT (PBE) results for crystalline Hg2AsPb at its relaxed geometry.

Summary:
DOS(E_F), states/eV per atom: 0.468

a b c (Å): 6.000 6.000 6.000
angles (deg): 136.32 136.32 63.49
Fractional positions:
Hg (0.500, 0.500, 0.000)
As (0.750, 0.250, 0.500)
Pb (0.250, 0.750, 0.500)
Hg (0.000, 0.000, 0.000)

***

Stability verdict: P, ahead by 0.016 eV/atom

***

--- P ---
DFT (PBE) results for crystalline Hg2AsPb at its relaxed geometry.

Summary:
DOS(E_F), states/eV per atom: 0.206

a b c (Å): 5.224 5.224 5.471
angles (deg): 120.71 120.71 89.67
Fractional positions:
Hg (0.006, 0.994, 0.000)
As (0.733, 0.267, 0.500)
Pb (0.505, 0.495, 0.000)
Hg (0.256, 0.744, 0.500)

***

--- Q ---
DFT (PBE) results for crystalline Hg2AsPb at its relaxed geometry.

Summary:
DOS(E_F), states/eV per atom: 0.513

a b c (Å): 6.658 6.658 6.658
angles (deg): 39.35 39.35 39.35
Fractional positions:
Pb (0.250, 0.250, 0.250)
Hg (0.014, 0.014, 0.014)
As (0.750, 0.750, 0.750)
Hg (0.486, 0.486, 0.486)

***

--- R ---
DFT (PBE) results for crystalline Hg2AsPb at its relaxed geometry.

Summary:
DOS(E_F), states/eV per atom: 0.377

a b c (Å): 3.315 4.325 7.036
angles (deg): 90.00 90.00 90.00
Fractional positions:
As (0.500, 0.500, 0.750)
Hg (0.000, 0.000, 0.974)
Pb (0.500, 0.500, 0.250)
Hg (0.000, 0.000, 0.526)

***

--- S ---
DFT (PBE) results for crystalline Hg2AsPb at its relaxed geometry.

Summary:
DOS(E_F), states/eV per atom: 0.281

a b c (Å): 6.950 6.950 6.950
angles (deg): 147.14 143.61 49.83
Fractional positions:
Hg (0.054, 0.054, 0.000)
Hg (0.741, 0.241, 0.500)
As (0.263, 0.763, 0.500)
Pb (0.442, 0.442, 0.000)

***

Stability verdict: S, ahead by 0.005 eV/atom

***

--- P ---
DFT (PBE) results for crystalline Hg2AsPb at its relaxed geometry.

Summary:
DOS(E_F), states/eV per atom: 0.301

a b c (Å): 5.229 3.482 5.688
angles (deg): 83.44 90.00 90.00
Fractional positions:
As (0.500, 0.750, 0.750)
Hg (0.000, 0.563, 0.512)
Pb (0.500, 0.250, 0.250)
Hg (0.000, 0.937, 0.988)

***

--- Q ---
DFT (PBE) results for crystalline Hg2AsPb at its relaxed geometry.

Summary:
DOS(E_F), states/eV per atom: 0.355

a b c (Å): 4.266 4.266 7.619
angles (deg): 74.81 74.81 60.32
Fractional positions:
Pb (0.482, 0.482, 0.544)
Hg (0.007, 0.007, 0.978)
As (0.754, 0.754, 0.748)
Hg (0.257, 0.257, 0.230)

***

Stability verdict: Q, ahead by 0.106 eV/atom

***

--- P ---
DFT (PBE) results for crystalline Hg2AsPb at its relaxed geometry.

Summary:
DOS(E_F), states/eV per atom: 0.290

a b c (Å): 3.425 3.425 8.545
angles (deg): 90.00 90.00 90.00
Fractional positions:
Pb (0.500, 0.500, 0.250)
Hg (0.000, 0.000, 0.979)
Hg (0.000, 0.000, 0.521)
As (0.500, 0.500, 0.750)

***

--- Q ---
DFT (PBE) results for crystalline Hg2AsPb at its relaxed geometry.

Summary:
DOS(E_F), states/eV per atom: 0.261

a b c (Å): 3.259 4.068 8.081
angles (deg): 90.00 90.00 90.00
Fractional positions:
As (0.500, 0.500, 0.745)
Hg (0.500, 0.500, 0.232)
Hg (0.000, 0.000, 0.986)
Pb (0.000, 0.000, 0.537)

***

Stability verdict: Q, ahead by 0.089 eV/atom